Record 1
The following is a GGA-PBE calculation of a relaxed La2TiCoPt crystal, from the Alexandria database.

The structure belongs to space group P4/mmm (No. 123); the cell edges are 5.715, 5.715 and 4.755 Å and the angles 90.00°, 90.00° and 90.00°. The inequivalent atoms are La at (0.000, 0.500, 0.000), Ti at (0.000, 0.000, 0.500), Co at (0.500, 0.500, 0.500) and Pt at (0.000, 0.000, 0.000).

Its magnetization is 2.5 μB/cell. Its crystal system is tetragonal. The calculation puts the volume at 31.06 Å³ per atom. For the polymorph energy (0 for the lowest one), the calculation gives 0.0000 eV/atom. For the formation energy, the calculation gives 0.3148 eV per atom.

***

Record 2
The following is a GGA-PBE calculation of a relaxed La2TiCoPt crystal, from the Alexandria database.

The structure belongs to space group P4/mmm (No. 123); the cell edges are 5.515, 5.515 and 4.111 Å and the angles 90.00°, 90.00° and 90.00°. The inequivalent atoms are La at (0.000, 0.500, 0.000), Ti at (0.000, 0.000, 0.000), Co at (0.000, 0.000, 0.500) and Pt at (0.500, 0.500, 0.500).

Its magnetization is 0.8 μB/cell. Its crystal system is tetragonal. The calculation puts the volume at 25.01 Å³ per atom. For the polymorph energy (0 for the lowest one), the calculation gives 0.0175 eV/atom. For the formation energy, the calculation gives 0.3323 eV per atom.

***

Record 3
The following is a GGA-PBE calculation of a relaxed LaTmCoPt crystal, from the Alexandria database.

The structure belongs to space group F-43m (No. 216); the cell edges are 6.982, 6.982 and 6.982 Å and the angles 90.00°, 90.00° and 90.00°. The inequivalent atoms are La at (0.000, 0.000, 0.000), Tm at (0.000, 0.000, 0.500), Co at (0.250, 0.250, 0.750) and Pt at (0.250, 0.250, 0.250).

Its magnetization is 0.0 μB/cell. Its crystal system is cubic. The calculation puts the volume at 21.27 Å³ per atom. For the formation energy, the calculation gives -0.5703 eV per atom.

***

Record 4
The following is a GGA-PBE calculation of a relaxed LaYCoPt crystal, from the Alexandria database.

The structure belongs to space group F-43m (No. 216); the cell edges are 7.035, 7.035 and 7.035 Å and the angles 90.00°, 90.00° and 90.00°. The inequivalent atoms are La at (0.000, 0.000, 0.000), Y at (0.000, 0.000, 0.500), Co at (0.250, 0.250, 0.750) and Pt at (0.250, 0.250, 0.250).

Its magnetization is 0.0 μB/cell. Its crystal system is cubic. The calculation puts the volume at 21.76 Å³ per atom. For the formation energy, the calculation gives -0.5424 eV per atom.

***

Record 5
The following is a GGA-PBE calculation of a relaxed La2Zn3CoPt12 crystal, from the Alexandria database.

The structure belongs to space group R-3m (No. 166, hexagonal axes); the cell edges are 6.8209, 6.8209 and 25.6893 Å and the angles 90.00°, 90.00° and 120.00°. The inequivalent atoms are La at (0.0000, 0.0000, 0.1582), Zn at (0.0000, 0.5000, 0.0000), Co at (0.0000, 0.0000, 0.5000), Pt at (0.0461, 0.5230, 0.1005) and Pt at (0.0677, 0.5338, 0.6176).

Its magnetization is 7.1 μB/cell. Its crystal system is trigonal. The calculation puts the volume at 19.17 Å³ per atom. For the formation energy, the calculation gives -0.3196 eV per atom.

***

Record 6
The following is a GGA-PBE calculation of a relaxed LaPuCo10 crystal, from the Alexandria database.

The structure belongs to space group Pmmm (No. 47); the cell edges are 3.973, 4.820 and 8.672 Å and the angles 90.00°, 90.00° and 90.00°. The inequivalent atoms are La at (0.000, 0.000, 0.000), Pu at (0.000, 0.500, 0.500), Co at (0.000, 0.000, 0.353), Co at (0.000, 0.500, 0.183), Co at (0.500, 0.000, 0.500), Co at (0.500, 0.252, 0.253) and Co at (0.500, 0.500, 0.000).

Its magnetization is 8.4 μB/cell. Its crystal system is orthorhombic. The calculation puts the volume at 13.84 Å³ per atom. For the formation energy, the calculation gives 0.0744 eV per atom.